No. 1
VASP calculation (GGA-PBE) on a relaxed structure of Ac2TiSb3Rh4.

Properties
Uncorrected energy in eV per atom: -6.62
E_form (uncorrected) in meV/atom: -835

Lattice parameters (Å, degrees): 4.4996 4.4996 10.9448 90.00 90.00 90.00
Space group P-4m2 (No. 115)
Symmetry-distinct sites (fractional):
Ac: 0.0000 0.5000 0.2501 (multiplicity 2)
Ti: 0.0000 0.0000 0.5000 (multiplicity 1)
Sb: 0.0000 0.5000 0.8688 (multiplicity 2)
Sb: 0.5000 0.5000 0.5000 (multiplicity 1)
Rh: 0.0000 0.0000 0.0000 (multiplicity 1)
Rh: 0.0000 0.5000 0.6264 (multiplicity 2)
Rh: 0.5000 0.5000 0.0000 (multiplicity 1)



No. 2
VASP calculation (GGA-PBE) on a relaxed structure of CePm6Er3Tm2.

Properties
Uncorrected energy in eV per atom: -4.72
ΔE_f in meV/atom: 38

Lattice parameters (Å, degrees): 6.2119 10.7610 11.7998 90.00 100.12 90.00
Space group C2/m (No. 12)
Symmetry-distinct sites (fractional):
Ce: 0.0000 0.0000 0.0000 (multiplicity 2)
Pm: 0.2486 0.0000 0.7501 (multiplicity 4)
Pm: 0.2489 0.1658 0.2499 (multiplicity 8)
Er: 0.0000 0.1673 0.5000 (multiplicity 4)
Er: 0.0000 0.5000 0.5000 (multiplicity 2)
Tm: 0.0000 0.3335 0.0000 (multiplicity 4)



No. 3
VASP calculation (GGA-PBE) on a relaxed structure of Cs3K5Rb2.

Properties
Uncorrected energy in eV per atom: -0.95
ΔE_f in meV/atom: 53

Lattice parameters (Å, degrees): 18.4097 22.5521 9.0310 90.00 90.00 90.00
Space group Ibam (No. 72)
Symmetry-distinct sites (fractional):
Cs: 0.0000 0.0000 0.2500 (multiplicity 4)
Cs: 0.0939 0.2609 0.0000 (multiplicity 8)
K: 0.0000 0.5000 0.2500 (multiplicity 4)
K: 0.1542 0.3519 0.5000 (multiplicity 8)
K: 0.2415 0.5000 0.2500 (multiplicity 8)
Rb: 0.1590 0.1567 0.5000 (multiplicity 8)



No. 4
VASP calculation (GGA-PBE) on a relaxed structure of Tm8Pb3Se3N.

Properties
Uncorrected energy in eV per atom: -5.33
E_form (uncorrected) in meV/atom: -955

Lattice parameters (Å, degrees): 13.5346 7.8200 8.7614 90.00 120.97 90.00
Space group C2/m (No. 12)
Symmetry-distinct sites (fractional):
Tm: 0.0099 0.2179 0.3120 (multiplicity 8)
Tm: 0.2078 0.0000 0.6882 (multiplicity 4)
Tm: 0.2373 0.5000 0.7125 (multiplicity 4)
Pb: 0.0000 0.0000 0.0000 (multiplicity 2)
Pb: 0.2500 0.2500 0.0000 (multiplicity 4)
Se: 0.0000 0.5000 0.5000 (multiplicity 2)
Se: 0.2500 0.2500 0.5000 (multiplicity 4)
N: 0.0000 0.0000 0.5000 (multiplicity 2)



No. 5
VASP calculation (GGA-PBE) on a relaxed structure of Sc2SbTe.

Properties
Uncorrected energy in eV per atom: -5.85
Energy above the most stable polymorph in this dataset in meV/atom: 187
E_form (uncorrected) in meV/atom: -870

Lattice parameters (Å, degrees): 11.0752 3.8477 4.6575 90.00 92.23 90.00
Space group Cm (No. 8)
Symmetry-distinct sites (fractional):
Sc: 0.0000 0.0000 0.0000 (multiplicity 2)
Sc: 0.2127 0.0000 0.5368 (multiplicity 2)
Sb: 0.2258 0.5000 0.0348 (multiplicity 2)
Te: 0.4785 0.0000 0.4989 (multiplicity 2)



No. 6
VASP calculation (GGA-PBE) on a relaxed structure of Li4SnPb2.

Properties
Uncorrected energy in eV per atom: -2.96
Energy above the most stable polymorph in this dataset in meV/atom: 0
ΔE_f in meV/atom: -240

Lattice parameters (Å, degrees): 8.9874 4.5061 8.9499 90.00 119.45 90.00
Space group C2/m (No. 12)
Symmetry-distinct sites (fractional):
Li: 0.0051 0.0000 0.2180 (multiplicity 4)
Li: 0.2430 0.5000 0.8760 (multiplicity 4)
Sn: 0.0000 0.5000 0.0000 (multiplicity 2)
Pb: 0.2093 0.0000 0.6013 (multiplicity 4)



No. 7
VASP calculation (GGA-PBE) on a relaxed structure of Y2CdNi.

Properties
Uncorrected energy in eV per atom: -4.91
ΔE_f in meV/atom: 0

Lattice parameters (Å, degrees): 7.8814 7.8814 6.4606 90.00 90.00 90.00
Space group I-42d (No. 122)
Symmetry-distinct sites (fractional):
Y: 0.1954 0.2500 0.1250 (multiplicity 8)
Cd: 0.0000 0.0000 0.5000 (multiplicity 4)
Ni: 0.0000 0.0000 0.0000 (multiplicity 4)



No. 8
VASP calculation (GGA-PBE) on a relaxed structure of AcCuP.

Properties
Uncorrected energy in eV per atom: -5.42
Energy above the most stable polymorph in this dataset in meV/atom: 0
ΔE_f in meV/atom: -882

Lattice parameters (Å, degrees): 4.1289 4.1289 4.4569 90.00 90.00 120.00
Space group P-6m2 (No. 187)
Symmetry-distinct sites (fractional):
Ac: 0.0000 0.0000 0.0000 (multiplicity 1)
Cu: 0.6667 0.3333 0.5000 (multiplicity 1)
P: 0.3333 0.6667 0.5000 (multiplicity 1)



| no. | total magnetic moment (Bohr magnetons per cell) |
| --- | --- |
| 1 | 0.03 |
| 2 | 2.74 |
| 3 | 0.00 |
| 4 | 0.00 |
| 5 | 1.41 |
| 6 | 0.00 |
| 7 | 0.00 |
| 8 | 0.00 |